Record 1
First-principles (GGA-PBE) data for La2TbSm5Er after structural relaxation, as listed in the Alexandria database.

Structure (POSCAR):
```
La2TbSm5Er
1.0
2.854 -10.139 0.000
2.854 10.139 0.000
0.000 0.000 10.795
La Tb Sm Er
4 2 10 2
direct
0.113 0.887 0.500
0.117 0.883 0.085
0.883 0.117 0.585
0.887 0.113 0.000
0.201 0.799 0.776
0.799 0.201 0.276
0.016 0.984 0.788
0.280 0.720 0.075
0.298 0.702 0.470
0.388 0.612 0.788
0.481 0.519 0.508
0.519 0.481 0.008
0.612 0.388 0.288
0.702 0.298 0.970
0.720 0.280 0.575
0.984 0.016 0.288
0.409 0.591 0.228
0.591 0.409 0.728
```

Space group   No. 36

***

Record 2
First-principles (GGA-PBE) data for LaTbSm6Er2 after structural relaxation, as listed in the Alexandria database.

Structure (POSCAR):
```
LaTbSm6Er2
1.0
4.624 -7.593 0.000
4.624 7.593 0.000
-1.332 0.000 9.622
La Tb Sm Er
2 2 12 4
direct
0.095 0.905 0.750
0.905 0.095 0.250
0.470 0.530 0.250
0.530 0.470 0.750
0.010 0.795 0.379
0.067 0.522 0.180
0.205 0.990 0.121
0.258 0.612 0.556
0.388 0.742 0.944
0.478 0.933 0.320
0.522 0.067 0.680
0.612 0.258 0.056
0.742 0.388 0.444
0.795 0.010 0.879
0.933 0.478 0.820
0.990 0.205 0.621
0.207 0.305 0.954
0.305 0.207 0.454
0.695 0.793 0.546
0.793 0.695 0.046
```

Space group   No. 15

***

Record 3
First-principles (GGA-PBE) data for La4TbSm2Er after structural relaxation, as listed in the Alexandria database.

Structure (POSCAR):
```
La4TbSm2Er
1.0
5.219 0.000 0.000
0.000 5.257 0.000
0.000 0.000 10.120
La Tb Sm Er
4 1 2 1
direct
0.000 0.000 0.249
0.000 0.000 0.751
0.500 0.500 0.250
0.500 0.500 0.750
0.000 0.500 0.500
0.000 0.500 0.000
0.500 0.000 0.500
0.500 0.000 0.000
```

Space group   No. 47

***

Record 4
First-principles (GGA-PBE) data for La2Tb2SmEr2 after structural relaxation, as listed in the Alexandria database.

Structure (POSCAR):
```
La2Tb2SmEr2
1.0
11.418 0.000 0.000
0.000 5.107 0.000
-1.159 0.000 8.003
La Tb Sm Er
4 4 2 4
direct
0.142 0.000 0.427
0.358 0.500 0.573
0.642 0.500 0.427
0.858 0.000 0.573
0.071 0.500 0.720
0.429 0.000 0.280
0.571 0.000 0.720
0.929 0.500 0.280
0.000 0.000 0.000
0.500 0.500 0.000
0.216 0.500 0.138
0.284 0.000 0.862
0.716 0.000 0.138
0.784 0.500 0.862
```

Space group   No. 12

***

Record 5
First-principles (GGA-PBE) data for La2Tb6SmEr3 after structural relaxation, as listed in the Alexandria database.

Structure (POSCAR):
```
La2Tb6SmEr3
1.0
3.106 -5.381 0.000
3.106 5.381 0.000
-2.071 0.000 11.694
La Tb Sm Er
2 6 1 3
direct
0.167 0.833 0.000
0.833 0.167 0.000
0.082 0.414 0.744
0.253 0.253 0.256
0.414 0.082 0.744
0.586 0.918 0.256
0.747 0.747 0.744
0.918 0.586 0.256
0.500 0.500 0.000
0.000 0.000 0.500
0.334 0.666 0.500
0.666 0.334 0.500
```

Space group   No. 12

***

Record 6
First-principles (GGA-PBE) data for La6Tb2SmEr after structural relaxation, as listed in the Alexandria database.

Structure (POSCAR):
```
La6Tb2SmEr
1.0
4.957 -7.593 0.000
4.957 7.593 0.000
-0.495 0.000 9.293
La Tb Sm Er
12 4 2 2
direct
0.020 0.457 0.818
0.081 0.771 0.583
0.229 0.919 0.917
0.290 0.557 0.395
0.443 0.710 0.105
0.457 0.020 0.318
0.543 0.980 0.682
0.557 0.290 0.895
0.710 0.443 0.605
0.771 0.081 0.083
0.919 0.229 0.417
0.980 0.543 0.182
0.205 0.293 0.065
0.293 0.205 0.565
0.707 0.795 0.435
0.795 0.707 0.935
0.059 0.941 0.250
0.941 0.059 0.750
0.421 0.579 0.750
0.579 0.421 0.250
```

Space group   No. 15

***

Record 7
First-principles (GGA-PBE) data for La4Tb2Sm2Er after structural relaxation, as listed in the Alexandria database.

Structure (POSCAR):
```
La4Tb2Sm2Er
1.0
7.762 -2.589 0.000
7.762 2.589 0.000
-2.610 0.000 7.714
La Tb Sm Er
4 2 2 1
direct
0.054 0.054 0.331
0.277 0.277 0.668
0.723 0.723 0.332
0.946 0.946 0.669
0.388 0.388 0.329
0.612 0.612 0.671
0.167 0.167 0.000
0.833 0.833 0.000
0.500 0.500 0.000
```

Space group   No. 12

***

Record 8
First-principles (GGA-PBE) data for LaTb2Sm3Er6 after structural relaxation, as listed in the Alexandria database.

Structure (POSCAR):
```
LaTb2Sm3Er6
1.0
3.094 -5.357 0.000
3.094 5.357 0.000
-2.053 0.000 11.580
La Tb Sm Er
1 2 3 6
direct
0.000 0.000 0.000
0.333 0.667 0.000
0.667 0.333 0.000
0.167 0.833 0.500
0.500 0.500 0.500
0.833 0.167 0.500
0.084 0.418 0.251
0.251 0.251 0.749
0.418 0.084 0.251
0.582 0.916 0.749
0.749 0.749 0.251
0.916 0.582 0.749
```

Space group   No. 12

***

Record 9
First-principles (GGA-PBE) data for La6TbSm2Er after structural relaxation, as listed in the Alexandria database.

Structure (POSCAR):
```
La6TbSm2Er
1.0
4.946 -7.657 0.000
4.946 7.657 0.000
-0.162 0.000 9.277
La Tb Sm Er
12 2 4 2
direct
0.027 0.464 0.819
0.075 0.776 0.590
0.224 0.925 0.910
0.283 0.568 0.403
0.432 0.717 0.097
0.464 0.027 0.319
0.536 0.973 0.681
0.568 0.283 0.903
0.717 0.432 0.597
0.776 0.075 0.090
0.925 0.224 0.410
0.973 0.536 0.181
0.065 0.935 0.250
0.935 0.065 0.750
0.205 0.294 0.064
0.294 0.205 0.564
0.706 0.795 0.436
0.795 0.706 0.936
0.429 0.571 0.750
0.571 0.429 0.250
```

Space group   No. 15

***

Record 10
First-principles (GGA-PBE) data for LaTb3Sm6Er2 after structural relaxation, as listed in the Alexandria database.

Structure (POSCAR):
```
LaTb3Sm6Er2
1.0
3.121 -5.405 0.000
3.121 5.405 0.000
-2.081 0.000 11.759
La Tb Sm Er
1 3 6 2
direct
0.000 0.000 0.000
0.167 0.833 0.500
0.500 0.500 0.500
0.833 0.167 0.500
0.084 0.419 0.251
0.251 0.251 0.749
0.419 0.084 0.251
0.581 0.916 0.749
0.749 0.749 0.251
0.916 0.581 0.749
0.333 0.667 0.000
0.667 0.333 0.000
```

Space group   No. 12

***

Record 11
First-principles (GGA-PBE) data for La2TbSmEr2 after structural relaxation, as listed in the Alexandria database.

Structure (POSCAR):
```
La2TbSmEr2
1.0
5.696 0.000 0.000
0.000 10.098 0.000
0.000 0.000 7.017
La Tb Sm Er
4 2 2 4
direct
0.000 0.018 0.000
0.000 0.982 0.500
0.500 0.191 0.264
0.500 0.809 0.764
0.500 0.484 0.947
0.500 0.516 0.447
0.000 0.320 0.687
0.000 0.680 0.187
0.000 0.361 0.195
0.000 0.639 0.695
0.500 0.146 0.755
0.500 0.854 0.255
```

Space group   No. 26

***

Record 12
First-principles (GGA-PBE) data for La2Tb3Sm6Er after structural relaxation, as listed in the Alexandria database.

Structure (POSCAR):
```
La2Tb3Sm6Er
1.0
3.138 -5.436 0.000
3.138 5.436 0.000
-2.100 0.000 11.838
La Tb Sm Er
2 3 6 1
direct
0.166 0.834 0.000
0.834 0.166 0.000
0.000 0.000 0.500
0.334 0.666 0.500
0.666 0.334 0.500
0.084 0.415 0.746
0.253 0.253 0.254
0.415 0.084 0.746
0.585 0.916 0.254
0.747 0.747 0.746
0.916 0.585 0.254
0.500 0.500 0.000
```

Space group   No. 12

***

Record 13
First-principles (GGA-PBE) data for LaTbSmEr2 after structural relaxation, as listed in the Alexandria database.

Structure (POSCAR):
```
LaTbSmEr2
1.0
4.221 -5.770 0.000
4.221 5.770 0.000
0.000 0.000 7.220
La Tb Sm Er
2 2 2 4
direct
0.233 0.767 0.750
0.767 0.233 0.250
0.219 0.781 0.250
0.781 0.219 0.750
0.500 0.500 0.250
0.500 0.500 0.750
0.188 0.188 0.000
0.188 0.188 0.500
0.812 0.812 0.000
0.812 0.812 0.500
```

Space group   No. 63

***

Record 14
First-principles (GGA-PBE) data for La5TbSmEr2 after structural relaxation, as listed in the Alexandria database.

Structure (POSCAR):
```
La5TbSmEr2
1.0
2.750 -10.887 0.000
2.750 10.887 0.000
0.000 0.000 10.666
La Tb Sm Er
10 2 2 4
direct
0.000 0.000 0.000
0.000 0.000 0.500
0.123 0.877 0.750
0.220 0.780 0.061
0.220 0.780 0.439
0.500 0.500 0.250
0.500 0.500 0.750
0.780 0.220 0.561
0.780 0.220 0.939
0.877 0.123 0.250
0.100 0.900 0.250
0.900 0.100 0.750
0.286 0.714 0.750
0.714 0.286 0.250
0.387 0.613 0.502
0.387 0.613 0.998
0.613 0.387 0.002
0.613 0.387 0.498
```

Space group   No. 63

***

Record 15
First-principles (GGA-PBE) data for La2TbSm2Er2 after structural relaxation, as listed in the Alexandria database.

Structure (POSCAR):
```
La2TbSm2Er2
1.0
11.423 0.000 0.000
0.000 5.119 0.000
-1.151 0.000 8.039
La Tb Sm Er
4 2 4 4
direct
0.142 0.000 0.425
0.358 0.500 0.575
0.642 0.500 0.425
0.858 0.000 0.575
0.000 0.000 0.000
0.500 0.500 0.000
0.215 0.500 0.139
0.285 0.000 0.861
0.715 0.000 0.139
0.785 0.500 0.861
0.070 0.500 0.717
0.430 0.000 0.283
0.570 0.000 0.717
0.930 0.500 0.283
```

Space group   No. 12

***

Record 16
First-principles (GGA-PBE) data for LaTb2SmEr2 after structural relaxation, as listed in the Alexandria database.

Structure (POSCAR):
```
LaTb2SmEr2
1.0
6.546 0.000 0.000
0.000 18.064 0.000
0.000 0.000 3.403
La Tb Sm Er
2 4 2 4
direct
0.000 0.000 0.000
0.500 0.500 0.500
0.215 0.189 0.000
0.285 0.689 0.500
0.715 0.311 0.500
0.785 0.811 0.000
0.000 0.500 0.000
0.500 0.000 0.500
0.213 0.352 0.500
0.287 0.852 0.000
0.713 0.148 0.000
0.787 0.648 0.500
```

Space group   No. 58

***

Record 17
First-principles (GGA-PBE) data for La5Tb2SmEr after structural relaxation, as listed in the Alexandria database.

Structure (POSCAR):
```
La5Tb2SmEr
1.0
-4.761 4.761 7.113
4.761 -4.761 7.113
4.761 4.761 -7.113
La Tb Sm Er
10 4 2 2
direct
0.000 0.000 0.000
0.067 0.567 0.904
0.163 0.067 0.500
0.337 0.837 0.904
0.433 0.337 0.500
0.500 0.500 0.000
0.567 0.663 0.500
0.663 0.163 0.096
0.837 0.933 0.500
0.933 0.433 0.096
0.109 0.391 0.500
0.391 0.891 0.283
0.609 0.109 0.717
0.891 0.609 0.500
0.250 0.250 0.000
0.750 0.750 0.000
0.250 0.750 0.500
0.750 0.250 0.500
```

Space group   No. 140

***

Record 18
First-principles (GGA-PBE) data for LaTbSmEr after structural relaxation, as listed in the Alexandria database.

Structure (POSCAR):
```
LaTbSmEr
1.0
8.139 0.000 0.000
0.000 8.139 0.000
0.000 0.000 8.139
La Tb Sm Er
4 4 4 4
direct
0.000 0.000 0.000
0.000 0.500 0.500
0.500 0.000 0.500
0.500 0.500 0.000
0.250 0.250 0.250
0.250 0.750 0.750
0.750 0.250 0.750
0.750 0.750 0.250
0.000 0.000 0.500
0.000 0.500 0.000
0.500 0.000 0.000
0.500 0.500 0.500
0.250 0.250 0.750
0.250 0.750 0.250
0.750 0.250 0.250
0.750 0.750 0.750
```

Space group   No. 216

***

Record 19
First-principles (GGA-PBE) data for LaTbSmEr after structural relaxation, as listed in the Alexandria database.

Structure (POSCAR):
```
LaTbSmEr
1.0
12.510 0.000 0.000
0.000 5.922 0.000
-1.126 0.000 3.623
La Tb Sm Er
2 2 2 2
direct
0.000 0.000 0.000
0.500 0.500 0.000
0.242 0.500 0.304
0.742 0.000 0.304
0.265 0.000 0.834
0.765 0.500 0.834
0.005 0.500 0.541
0.505 0.000 0.541
```

Space group   No. 8

***

Record 20
First-principles (GGA-PBE) data for La2TbSm3Er6 after structural relaxation, as listed in the Alexandria database.

Structure (POSCAR):
```
La2TbSm3Er6
1.0
3.110 -5.385 0.000
3.110 5.385 0.000
-2.067 0.000 11.593
La Tb Sm Er
2 1 3 6
direct
0.166 0.834 0.000
0.834 0.166 0.000
0.500 0.500 0.000
0.000 0.000 0.500
0.333 0.667 0.500
0.667 0.333 0.500
0.083 0.416 0.748
0.252 0.252 0.252
0.416 0.083 0.748
0.584 0.917 0.252
0.748 0.748 0.748
0.917 0.584 0.252
```

Space group   No. 12

***

Calculated values (eV/f.u.) of ΔH_f (0 K) for the records, taken in order: 1.171 1.195 0.139 0.211 0.270 1.120 0.228 0.222 1.137 0.223 0.465 0.230 1.775 1.151 0.191 1.650 2.611 0.436 0.421 0.211.
Calculated values (μB/f.u.) of magnetic moment for the records, taken in order: 0.00 0.00 0.00 0.01 0.00 0.00 0.00 0.00 0.00 0.00 0.00 0.00 0.00 0.00 0.00 0.00 0.00 0.00 0.00 0.00.